The following is a PBE calculation of a relaxed HoPaReNi crystal, from Alexandria via LeMat-Bulk.

E_tot: -8.1818 eV/atom
Energy of formation from the pure elements: -0.1060 eV/atom

Unit cell a=4.8195 b=4.8195 c=4.8195 alpha=60.00 beta=60.00 gamma=60.00
Atoms (fractional coordinates):
Ho 0.0000 0.0000 0.0000
Pa 0.5000 0.5000 0.5000
Re 0.7500 0.7500 0.7500
Ni 0.2500 0.2500 0.2500